First-principles (PBE) data for a relaxed InFe2Cl crystal, as listed in Alexandria via LeMat-Bulk.

abc: 3.2390 3.0087 7.8335
angles: 90.00 101.11 90.00
With the nearest neighbours (Å) after each atom.
Space group Pm (No. 6)
Symmetry-distinct sites (fractional):
In 0.0000 0.0000 0.0000 [1 per cell]  5 Fe 2.79-2.93, 2 In 3.01
Fe 0.1808 0.0000 0.3817 [1 per cell]  2 Cl 2.33, 4 Fe 2.53-2.54
Fe 0.6033 0.5000 0.2208 [1 per cell]  4 Fe 2.53-2.54, 4 In 2.79
Cl 0.2909 0.5000 0.6125 [1 per cell]  2 Fe 2.33

Results
Its total moment is 5.512 μB/cell. For the density of states at the Fermi level, the calculation gives 3.02 states/eV/cell. The value obtained for the distance to the lowest polymorph of the same formula is 0 meV/atom.

---

First-principles (PBE) data for a relaxed InFeCl2 crystal, as listed in Alexandria via LeMat-Bulk.

abc: 3.5995 5.8830 9.0939
angles: 90.00 90.00 90.00
With the nearest neighbours (Å) after each atom.
Space group Cmm2 (No. 35)
Symmetry-distinct sites (fractional):
In 0.0000 0.0000 0.0000 [2 per cell]  2 Cl 2.63, 2 Fe 2.79
Fe 0.0000 0.5000 0.7658 [2 per cell]  2 Cl 2.32
Cl 0.0000 0.0000 0.6051 [2 per cell]  2 Fe 2.32
Cl 0.0000 0.5000 0.2110 [2 per cell]  2 In 2.63

Results
Its total moment is 6.526 μB/cell. For the density of states at the Fermi level, the calculation gives 5.14 states/eV/cell. The value obtained for the distance to the lowest polymorph of the same formula is 158 meV/atom.

---

First-principles (PBE) data for a relaxed InFeCl2 crystal, as listed in Alexandria via LeMat-Bulk.

abc: 4.4167 3.3634 5.9553
angles: 90.00 90.13 90.00
With the nearest neighbours (Å) after each atom.
Space group P2/m (No. 10)
Symmetry-distinct sites (fractional):
In 0.0000 0.0000 0.0000 [1 per cell]  4 Cl 2.78
Fe 0.0000 0.5000 0.5000 [1 per cell]  4 Cl 2.78
Cl 0.5000 0.0000 0.5000 [1 per cell]  4 Fe 2.78
Cl 0.5000 0.5000 0.0000 [1 per cell]  4 In 2.78

Results
Its total moment is 3.261 μB/cell. For the density of states at the Fermi level, the calculation gives 2.41 states/eV/cell. The value obtained for the distance to the lowest polymorph of the same formula is 482 meV/atom.

---

Q: Which formula does entry 3 have?
A: InFeCl2